First-principles (GGA-PBEsol) data for crystalline LiSiP at its relaxed geometry, as listed in the Alexandria database.

Output
The final energy is -4.294 eV/atom. The calculation puts the uncorrected formation energy at 20.1 kJ per mole of atoms. The calculation puts the total magnetization at 0.00 μB/f.u. The calculation puts the density of states at the Fermi level at 1.7 states/eV/cell. For the relative energy among the computed polymorphs, the calculation gives 7.53 kcal/mol of atoms.

```
data_LiSiP
_chemical_formula_sum 'Li1 Si1 P1'
_symmetry_space_group_name_H-M 'P 1'
_symmetry_Int_Tables_number 1
_cell_length_a 4.1657
_cell_length_b 4.1657
_cell_length_c 4.1657
_cell_angle_alpha 60.00
_cell_angle_beta 60.00
_cell_angle_gamma 60.00
loop_
_symmetry_equiv_pos_as_xyz
'x,y,z'
loop_
_atom_site_label
_atom_site_fract_x
_atom_site_fract_y
_atom_site_fract_z
_atom_site_occupancy
Li1 0.0000 0.0000 0.0000 1
Si1 0.7500 0.7500 0.7500 1
P1 0.5000 0.5000 0.5000 1
```

First-principles (GGA-PBEsol) data for crystalline LaZn2Co2 at its relaxed geometry, as listed in the Alexandria database.

Output
The final energy is -4.914 eV/atom. As for the calculated formation energy: -117 meV/atom. The calculation puts the total magnetization at 0.00 μB/f.u. The calculation puts the density of states at the Fermi level at 3.3 states/eV/cell.

```
data_LaZn2Co2
_chemical_formula_sum 'La1 Zn2 Co2'
_symmetry_space_group_name_H-M 'P 1'
_symmetry_Int_Tables_number 1
_cell_length_a 5.8300
_cell_length_b 5.8300
_cell_length_c 5.8300
_cell_angle_alpha 140.06
_cell_angle_beta 140.06
_cell_angle_gamma 57.76
loop_
_symmetry_equiv_pos_as_xyz
'x,y,z'
loop_
_atom_site_label
_atom_site_fract_x
_atom_site_fract_y
_atom_site_fract_z
_atom_site_occupancy
La1 0.0000 0.0000 0.0000 1
Zn1 0.2500 0.7500 0.5000 1
Zn2 0.7500 0.2500 0.5000 1
Co1 0.3930 0.3930 0.0000 1
Co2 0.6070 0.6070 0.0000 1
```

First-principles (GGA-PBEsol) data for crystalline K3TlBi at its relaxed geometry, as listed in the Alexandria database.

Output
The final energy is -1.757 eV/atom. As for the calculated formation energy: 306 meV/atom. The calculation puts the total magnetization at 0.00 μB/f.u. The calculation puts the density of states at the Fermi level at 5.3 states/eV/cell.

```
data_K3TlBi
_chemical_formula_sum 'K3 Tl1 Bi1'
_symmetry_space_group_name_H-M 'P 1'
_symmetry_Int_Tables_number 1
_cell_length_a 6.3004
_cell_length_b 6.3004
_cell_length_c 6.3004
_cell_angle_alpha 90.00
_cell_angle_beta 90.00
_cell_angle_gamma 90.00
loop_
_symmetry_equiv_pos_as_xyz
'x,y,z'
loop_
_atom_site_label
_atom_site_fract_x
_atom_site_fract_y
_atom_site_fract_z
_atom_site_occupancy
K1 0.0000 0.0000 0.5000 1
K2 0.0000 0.5000 0.0000 1
K3 0.5000 0.0000 0.0000 1
Tl1 0.0000 0.0000 0.0000 1
Bi1 0.5000 0.5000 0.5000 1
```

First-principles (GGA-PBEsol) data for crystalline Ta2MnCr at its relaxed geometry, as listed in the Alexandria database.

Output
The final energy is -11.175 eV/atom. As for the calculated formation energy: 102 meV/atom. The calculation puts the total magnetization at 0.00 μB/f.u. The calculation puts the density of states at the Fermi level at 2.6 states/eV/cell.

```
data_Ta2MnCr
_chemical_formula_sum 'Ta2 Mn1 Cr1'
_symmetry_space_group_name_H-M 'P 1'
_symmetry_Int_Tables_number 1
_cell_length_a 3.0985
_cell_length_b 4.0820
_cell_length_c 4.5249
_cell_angle_alpha 90.00
_cell_angle_beta 90.00
_cell_angle_gamma 90.00
loop_
_symmetry_equiv_pos_as_xyz
'x,y,z'
loop_
_atom_site_label
_atom_site_fract_x
_atom_site_fract_y
_atom_site_fract_z
_atom_site_occupancy
Ta1 0.0000 0.0000 0.0000 1
Ta2 0.5000 0.0000 0.5000 1
Mn1 0.0000 0.5000 0.5000 1
Cr1 0.5000 0.5000 0.0000 1
```

Question: Number 4 is which compound?
Answer: Ta2MnCr